Entry 1:
The following is a PBE-GGA calculation of crystalline La6Pr3Mg at its relaxed geometry, from Alexandria via LeMat-Bulk.

POSCAR file:
```
La6Pr3Mg
1.0
8.712 -6.508 0.000
8.712 6.508 0.000
0.000 0.000 6.308
La Pr Mg
12 6 2
Direct
0.052 0.948 0.500
0.070 0.613 0.702
0.186 0.814 0.025
0.249 0.416 0.175
0.387 0.930 0.702
0.416 0.249 0.675
0.584 0.751 0.175
0.613 0.070 0.202
0.751 0.584 0.675
0.814 0.186 0.525
0.930 0.387 0.202
0.948 0.052 0.000
0.098 0.271 0.713
0.271 0.098 0.213
0.337 0.663 0.412
0.663 0.337 0.912
0.729 0.902 0.713
0.902 0.729 0.213
0.423 0.577 0.885
0.577 0.423 0.385
```

## Properties
DOS at the Fermi energy, states/eV per atom: 1.362
Energy of formation from the pure elements, eV per atom: 0.109
M_tot, μB/f.u.: 0.00

Entry 2:
The following is a PBE-GGA calculation of crystalline LaPr7Mg3 at its relaxed geometry, from Alexandria via LeMat-Bulk.

POSCAR file:
```
LaPr7Mg3
1.0
7.306 0.000 0.000
-3.653 6.327 0.000
0.000 0.000 8.467
La Pr Mg
1 7 3
Direct
0.000 0.000 0.000
0.003 0.502 0.007
0.330 0.165 0.645
0.333 0.667 0.659
0.498 0.502 0.007
0.498 0.997 0.007
0.835 0.165 0.645
0.835 0.670 0.645
0.171 0.341 0.328
0.171 0.829 0.328
0.659 0.829 0.328
```

## Properties
DOS at the Fermi energy, states/eV per atom: 1.022
Energy of formation from the pure elements, eV per atom: 0.110
M_tot, μB/f.u.: 0.00

Entry 3:
The following is a PBE-GGA calculation of crystalline La3Pr5Mg at its relaxed geometry, from Alexandria via LeMat-Bulk.

POSCAR file:
```
La3Pr5Mg
1.0
5.766 -4.201 0.000
5.766 4.201 0.000
-0.346 0.000 14.009
La Pr Mg
6 10 2
Direct
0.000 0.000 0.000
0.000 0.000 0.500
0.235 0.235 0.382
0.366 0.366 0.989
0.634 0.634 0.011
0.765 0.765 0.618
0.020 0.464 0.164
0.244 0.244 0.628
0.326 0.674 0.500
0.464 0.020 0.164
0.497 0.497 0.247
0.503 0.503 0.753
0.536 0.980 0.836
0.674 0.326 0.500
0.756 0.756 0.372
0.980 0.536 0.836
0.008 0.008 0.757
0.992 0.992 0.243
```

## Properties
DOS at the Fermi energy, states/eV per atom: 1.519
Energy of formation from the pure elements, eV per atom: 0.306
M_tot, μB/f.u.: 0.00

Entry 4:
The following is a PBE-GGA calculation of crystalline La3Pr6Mg2 at its relaxed geometry, from Alexandria via LeMat-Bulk.

POSCAR file:
```
La3Pr6Mg2
1.0
6.351 0.000 0.000
-0.944 7.964 0.000
-2.198 -2.662 7.439
La Pr Mg
3 6 2
Direct
0.000 0.000 0.000
0.091 0.815 0.364
0.909 0.185 0.636
0.191 0.633 0.739
0.364 0.276 0.441
0.447 0.098 0.818
0.553 0.902 0.182
0.636 0.724 0.559
0.809 0.367 0.261
0.267 0.456 0.092
0.733 0.544 0.908
```

## Properties
DOS at the Fermi energy, states/eV per atom: 1.320
Energy of formation from the pure elements, eV per atom: 0.008
M_tot, μB/f.u.: 0.00

Entry 5:
The following is a PBE-GGA calculation of crystalline La3Pr4Mg at its relaxed geometry, from Alexandria via LeMat-Bulk.

POSCAR file:
```
La3Pr4Mg
1.0
11.831 0.000 0.000
0.000 7.373 0.000
0.000 0.000 6.434
La Pr Mg
6 8 2
Direct
0.000 0.124 0.000
0.241 0.121 0.654
0.259 0.879 0.154
0.500 0.876 0.500
0.741 0.879 0.154
0.759 0.121 0.654
0.000 0.386 0.467
0.000 0.628 0.995
0.240 0.632 0.651
0.260 0.368 0.151
0.500 0.372 0.495
0.500 0.614 0.967
0.740 0.368 0.151
0.760 0.632 0.651
0.000 0.877 0.487
0.500 0.123 0.987
```

## Properties
DOS at the Fermi energy, states/eV per atom: 1.375
Energy of formation from the pure elements, eV per atom: 0.003
M_tot, μB/f.u.: 0.00

Entry 6:
The following is a PBE-GGA calculation of crystalline La12Pr5Mg at its relaxed geometry, from Alexandria via LeMat-Bulk.

POSCAR file:
```
La12Pr5Mg
1.0
9.620 -5.547 0.000
9.620 5.547 0.000
-2.122 0.000 6.062
La Pr Mg
12 5 1
Direct
0.001 0.668 0.167
0.162 0.838 0.000
0.166 0.500 0.669
0.331 0.669 0.500
0.332 0.999 0.833
0.500 0.166 0.669
0.500 0.834 0.331
0.668 0.001 0.167
0.669 0.331 0.500
0.834 0.500 0.331
0.838 0.162 0.000
0.999 0.332 0.833
0.166 0.166 0.335
0.333 0.333 0.170
0.500 0.500 0.000
0.667 0.667 0.830
0.834 0.834 0.665
0.000 0.000 0.500
```

## Properties
DOS at the Fermi energy, states/eV per atom: 1.765
Energy of formation from the pure elements, eV per atom: 0.008
M_tot, μB/f.u.: 0.00

Entry 7:
The following is a PBE-GGA calculation of crystalline La8PrMg2 at its relaxed geometry, from Alexandria via LeMat-Bulk.

POSCAR file:
```
La8PrMg2
1.0
4.562 -8.205 0.000
4.562 8.205 0.000
-3.187 0.000 5.152
La Pr Mg
8 1 2
Direct
0.097 0.337 0.668
0.208 0.792 0.000
0.337 0.097 0.668
0.420 0.420 0.206
0.580 0.580 0.794
0.663 0.903 0.332
0.792 0.208 0.000
0.903 0.663 0.332
0.000 0.000 0.000
0.310 0.690 0.500
0.690 0.310 0.500
```

## Properties
DOS at the Fermi energy, states/eV per atom: 1.389
Energy of formation from the pure elements, eV per atom: 0.087
M_tot, μB/f.u.: 0.00

Entry 8:
The following is a PBE-GGA calculation of crystalline La7Pr3Mg at its relaxed geometry, from Alexandria via LeMat-Bulk.

POSCAR file:
```
La7Pr3Mg
1.0
5.880 -5.278 0.000
5.880 5.278 0.000
-0.006 0.000 6.613
La Pr Mg
7 3 1
Direct
0.000 0.000 0.000
0.049 0.393 0.727
0.260 0.260 0.207
0.393 0.049 0.727
0.607 0.951 0.273
0.740 0.740 0.793
0.951 0.607 0.273
0.333 0.667 0.000
0.500 0.500 0.500
0.667 0.333 0.000
0.000 0.000 0.500
```

## Properties
DOS at the Fermi energy, states/eV per atom: 1.587
Energy of formation from the pure elements, eV per atom: 0.192
M_tot, μB/f.u.: 0.00

Look up the M_tot of the eighth one. 0.00 μB/f.u.

Which value of M_tot does entry 6 give? 0.00 μB/f.u.